Arrangement P

TlNiIr2 after structural relaxation, computed with GGA-PBEsol.

As for the calculated density: 18.02 g/cm³. The magnetization is 0.42 μB per formula unit.

The space group is I-4m2 (No. 119) and the conventional cell measures 3.965, 3.965 and 7.590 Å, with angles of 90.00, 90.00 and 90.00 degrees. The asymmetric unit holds Tl at (0.000, 0.000, 0.000), Ni at (0.000, 0.500, 0.750), Ir at (0.000, 0.000, 0.500) and Ir at (0.000, 0.500, 0.250).


Arrangement Q

TlNiIr2 after structural relaxation, computed with GGA-PBEsol.

As for the calculated density: 17.98 g/cm³. The magnetization is 0.02 μB per formula unit.

The space group is C2/m (No. 12) and the conventional cell measures 8.920, 2.829 and 4.831 Å, with angles of 90.00, 101.10 and 90.00 degrees. The asymmetric unit holds Tl at (0.000, 0.000, 0.000), Ni at (0.000, 0.500, 0.500) and Ir at (0.241, 0.000, 0.722).


Arrangement R

TlNiIr2 after structural relaxation, computed with GGA-PBEsol.

As for the calculated density: 17.90 g/cm³. The magnetization is 0.00 μB per formula unit.

The space group is Cmmm (No. 65) and the conventional cell measures 5.593, 7.429 and 2.891 Å, with angles of 90.00, 90.00 and 90.00 degrees. The asymmetric unit holds Tl at (0.000, 0.000, 0.000), Ni at (0.000, 0.500, 0.000) and Ir at (0.250, 0.250, 0.500).


Short version: arrangement R is the least stable of them.


Arrangement P

YNiIr2 after structural relaxation, computed with GGA-PBEsol.

As for the calculated density: 14.26 g/cm³. The magnetization is 0.00 μB per formula unit.

The space group is Pmmm (No. 47) and the conventional cell measures 3.015, 4.508 and 4.559 Å, with angles of 90.00, 90.00 and 90.00 degrees. The asymmetric unit holds Y at (0.000, 0.000, 0.000), Ni at (0.500, 0.000, 0.500), Ir at (0.000, 0.500, 0.500) and Ir at (0.500, 0.500, 0.000).


Arrangement Q

YNiIr2 after structural relaxation, computed with GGA-PBEsol.

As for the calculated density: 14.10 g/cm³. The magnetization is 0.00 μB per formula unit.

The space group is Pmm2 (No. 25) and the conventional cell measures 2.831, 3.844 and 5.758 Å, with angles of 90.00, 90.00 and 90.00 degrees. The asymmetric unit holds Y at (0.000, 0.000, 0.000), Ni at (0.500, 0.500, 0.722), Ir at (0.000, 0.000, 0.507) and Ir at (0.500, 0.500, 0.297).


Short version: arrangement P is the least stable of them.


Arrangement P

Sr2IrO4 after structural relaxation, computed with GGA-PBEsol.

As for the calculated density: 7.46 g/cm³. The magnetization is 0.00 μB per formula unit.

The space group is I4_1/acd (No. 142, origin choice 2) and the conventional cell measures 5.448, 5.448 and 25.888 Å, with angles of 90.00, 90.00 and 90.00 degrees. The asymmetric unit holds Sr at (0.000, 0.250, 0.050), Ir at (0.000, 0.250, 0.375), O at (0.000, 0.250, 0.295) and O at (0.190, 0.060, 0.125).


Arrangement Q

Sr2IrO4 after structural relaxation, computed with GGA-PBEsol.

As for the calculated density: 7.47 g/cm³. The magnetization is 0.00 μB per formula unit.

The space group is I4/mmm (No. 139) and the conventional cell measures 3.906, 3.906 and 12.569 Å, with angles of 90.00, 90.00 and 90.00 degrees. The asymmetric unit holds Sr at (0.000, 0.000, 0.146), Ir at (0.000, 0.000, 0.500), O at (0.000, 0.000, 0.337) and O at (0.000, 0.500, 0.000).


Short version: arrangement Q is the least stable of them.


Arrangement P

Ir2Os after structural relaxation, computed with GGA-PBEsol.

As for the calculated density: 22.66 g/cm³. The magnetization is 0.00 μB per formula unit.

The space group is Pnma (No. 62) and the conventional cell measures 5.411, 3.822 and 8.143 Å, with angles of 90.00, 90.00 and 90.00 degrees. The asymmetric unit holds Ir at (0.125, 0.250, 0.246), Ir at (0.126, 0.250, 0.584) and Os at (0.121, 0.250, 0.921).


Arrangement Q

Ir2Os after structural relaxation, computed with GGA-PBEsol.

As for the calculated density: 22.70 g/cm³. The magnetization is 0.00 μB per formula unit.

The space group is I4_1/amd (No. 141, origin choice 2) and the conventional cell measures 3.826, 3.826 and 22.974 Å, with angles of 90.00, 90.00 and 90.00 degrees. The asymmetric unit holds Ir at (0.000, 0.250, 0.123), Ir at (0.000, 0.250, 0.791) and Os at (0.000, 0.250, 0.290).


Arrangement R

Ir2Os after structural relaxation, computed with GGA-PBEsol.

As for the calculated density: 22.72 g/cm³. The magnetization is 0.00 μB per formula unit.

The space group is Immm (No. 71) and the conventional cell measures 2.705, 3.822 and 8.125 Å, with angles of 90.00, 90.00 and 90.00 degrees. The asymmetric unit holds Ir at (0.000, 0.000, 0.164) and Os at (0.000, 0.000, 0.500).


Arrangement S

Ir2Os after structural relaxation, computed with GGA-PBEsol.

As for the calculated density: 22.66 g/cm³. The magnetization is 0.00 μB per formula unit.

The space group is Cm (No. 8) and the conventional cell measures 9.924, 2.727 and 6.419 Å, with angles of 90.00, 104.24 and 90.00 degrees. The asymmetric unit holds Ir at (0.000, 0.000, 0.000), Ir at (0.055, 0.000, 0.609), Ir at (0.168, 0.500, 0.332), Ir at (0.332, 0.000, 0.668), Os at (0.224, 0.500, 0.948) and Os at (0.387, 0.000, 0.274).


Short version: arrangement S is the least stable of them.


Arrangement P

Ir2Os after structural relaxation, computed with GGA-PBEsol.

As for the calculated density: 22.63 g/cm³. The magnetization is 0.00 μB per formula unit.

The space group is I4/mmm (No. 139) and the conventional cell measures 2.707, 2.707 and 11.510 Å, with angles of 90.00, 90.00 and 90.00 degrees. The asymmetric unit holds Ir at (0.000, 0.000, 0.163) and Os at (0.000, 0.000, 0.500).


Arrangement Q

Ir2Os after structural relaxation, computed with GGA-PBEsol.

As for the calculated density: 22.66 g/cm³. The magnetization is 0.00 μB per formula unit.

The space group is P-3m1 (No. 164) and the conventional cell measures 2.7046, 2.7046 and 6.6465 Å, with angles of 90.00, 90.00 and 120.00 degrees. The asymmetric unit holds Ir at (0.3333, 0.6667, 0.1712) and Os at (0.0000, 0.0000, 0.5000).


Arrangement R

Ir2Os after structural relaxation, computed with GGA-PBEsol.

As for the calculated density: 21.82 g/cm³. The magnetization is 0.00 μB per formula unit.

The space group is I4_1/amd (No. 141, origin choice 2) and the conventional cell measures 2.702, 2.702 and 23.953 Å, with angles of 90.00, 90.00 and 90.00 degrees. The asymmetric unit holds Ir at (0.000, 0.250, 0.297) and Os at (0.000, 0.250, 0.875).


Short version: arrangement R is the least stable of them.


Arrangement P

IrOs2 after structural relaxation, computed with GGA-PBEsol.

As for the calculated density: 21.98 g/cm³. The magnetization is 0.00 μB per formula unit.

The space group is P6/mmm (No. 191) and the conventional cell measures 4.3026, 4.3026 and 2.6987 Å, with angles of 90.00, 90.00 and 120.00 degrees. The asymmetric unit holds Ir at (0.0000, 0.0000, 0.0000) and Os at (0.3333, 0.6667, 0.5000).


Arrangement Q

IrOs2 after structural relaxation, computed with GGA-PBEsol.

As for the calculated density: 22.71 g/cm³. The magnetization is 0.00 μB per formula unit.

The space group is Cm (No. 8) and the conventional cell measures 9.865, 2.727 and 6.413 Å, with angles of 90.00, 103.83 and 90.00 degrees. The asymmetric unit holds Ir at (0.000, 0.000, 0.000), Ir at (0.170, 0.500, 0.340), Os at (0.056, 0.000, 0.615), Os at (0.224, 0.500, 0.947), Os at (0.334, 0.000, 0.669) and Os at (0.391, 0.000, 0.281).


Arrangement R

IrOs2 after structural relaxation, computed with GGA-PBEsol.

As for the calculated density: 22.65 g/cm³. The magnetization is 0.00 μB per formula unit.

The space group is P-3m1 (No. 164) and the conventional cell measures 2.7040, 2.7040 and 6.6307 Å, with angles of 90.00, 90.00 and 120.00 degrees. The asymmetric unit holds Ir at (0.0000, 0.0000, 0.0000) and Os at (0.3333, 0.6667, 0.6623).


Short version: arrangement P is the least stable of them.